# ErCu6Ni2

Crystalline ErCu6Ni2 at its relaxed geometry (PBE, Alexandria).

```
ErCu6Ni2
1.0
5.002 0.000 0.000
-2.501 4.332 0.000
0.000 0.000 6.536
Er Cu Ni
1 6 2
Cartesian
0.000 0.000 0.000 Er
-1.250 2.166 1.317 Cu
-1.250 2.166 5.219 Cu
2.501 0.000 1.317 Cu
2.501 0.000 5.219 Cu
1.250 2.166 1.317 Cu
1.250 2.166 5.219 Cu
0.000 2.888 3.268 Ni
2.501 1.444 3.268 Ni
```

Summary:
For the total magnetization, the calculation gives 0.00 μB per cell. The total energy is -0.3150 Ry per atom.